Entry a
# CuCOF2

An optimized crystal structure of CuCOF2 (PBE, the Alexandria database).

Geometry as extended XYZ:
```
5
Lattice="3.780 0.000 0.000 0.000 3.780 0.000 0.000 0.000 3.900" Properties=species:S:1:pos:R:3 pbc="T T T"
Cu 0.000 0.000 0.000
C 1.890 1.890 1.950
O 0.000 0.000 1.950
F 0.000 1.890 0.000
F 1.890 0.000 0.000
```

Results
Total moment   0.4 μB/f.u.
Mass density   3.9 Mg/m³
Space-group type   P4/mmm

---

Entry b
# CuCOF2

An optimized crystal structure of CuCOF2 (PBE, the Alexandria database).

Geometry as extended XYZ:
```
5
Lattice="4.240 0.000 0.000 0.000 4.240 0.000 0.000 0.000 2.754" Properties=species:S:1:pos:R:3 pbc="T T T"
Cu 0.000 0.000 0.000
C 2.120 2.120 1.377
O 2.120 2.120 0.000
F 0.000 2.120 1.377
F 2.120 0.000 1.377
```

Results
Total moment   0.0 μB/f.u.
Mass density   4.3 Mg/m³
Space-group type   P4/mmm

---

Which of them is most stable? Easy: entry b.

---

Entry a
# Fe2CuC2

An optimized crystal structure of Fe2CuC2 (PBE, the Alexandria database).

Geometry as extended XYZ:
```
5
Lattice="-1.706 1.706 3.712 1.706 -1.706 3.712 1.706 1.706 -3.712" Properties=species:S:1:pos:R:3 pbc="T T T"
Fe 1.706 0.000 1.856
Fe 0.000 1.706 1.856
Cu 0.000 0.000 0.000
C 0.000 0.000 2.942
C 0.000 0.000 4.482
```

Results
Total moment   0.8 μB/f.u.
Mass density   7.7 Mg/m³
Space-group type   I4/mmm

---

Entry b
# Fe2CuC2

An optimized crystal structure of Fe2CuC2 (PBE, the Alexandria database).

Geometry as extended XYZ:
```
10
Lattice="5.715 0.000 0.000 0.000 5.715 0.000 0.000 0.000 2.509" Properties=species:S:1:pos:R:3 pbc="T T T"
Fe 0.829 2.028 0.000
Fe 2.028 4.886 0.000
Fe 3.687 0.829 0.000
Fe 4.886 3.687 0.000
Cu 0.000 0.000 1.254
Cu 2.858 2.858 1.254
C 0.857 3.715 1.254
C 2.000 0.857 1.254
C 3.715 4.858 1.254
C 4.858 2.000 1.254
```

Results
Total moment   0.0 μB/f.u.
Mass density   8.1 Mg/m³
Space-group type   P4/mbm

---

Which of them is most stable? Easy: entry a.

---

Entry a
# K2FeCuC6N6

An optimized crystal structure of K2FeCuC6N6 (PBE, the Alexandria database).

Geometry as extended XYZ:
```
16
Lattice="0.000 5.142 5.142 5.142 0.000 5.142 5.142 5.142 0.000" Properties=species:S:1:pos:R:3 pbc="T T T"
K 2.571 2.571 2.571
K 7.712 7.712 7.712
Fe 0.000 0.000 0.000
Cu 5.142 5.142 5.142
C 5.142 5.142 1.874
C 5.142 1.874 5.142
C 8.409 5.142 5.142
C 1.874 5.142 5.142
C 5.142 8.409 5.142
C 5.142 5.142 8.409
N 5.142 5.142 3.054
N 5.142 3.054 5.142
N 7.229 5.142 5.142
N 3.054 5.142 5.142
N 5.142 7.229 5.142
N 5.142 5.142 7.229
```

Results
Total moment   1.1 μB/f.u.
Mass density   2.2 Mg/m³
Space-group type   Fm-3m

---

Entry b
# K2FeCuC6N6

An optimized crystal structure of K2FeCuC6N6 (PBE, the Alexandria database).

Geometry as extended XYZ:
```
16
Lattice="6.841 0.000 0.000 0.091 7.032 0.000 3.318 3.248 5.447" Properties=species:S:1:pos:R:3 pbc="T T T"
K 1.796 1.726 0.221
K 8.454 8.554 5.226
Fe 1.705 5.140 2.723
Cu 5.079 1.624 2.723
C 3.104 3.953 3.129
C 2.880 6.591 2.655
C 1.993 4.844 0.875
C 8.257 5.436 4.571
C 7.371 3.689 2.791
C 7.147 6.326 2.318
N 3.945 3.169 3.409
N 3.583 7.536 2.589
N 5.504 7.890 5.174
N 4.746 2.389 0.273
N 6.667 2.744 2.858
N 6.305 7.110 2.038
```

Results
Total moment   1.1 μB/f.u.
Mass density   2.2 Mg/m³
Space-group type   P-1

---

Which of them is most stable? Easy: entry b.

---

Entry a
# GaCuC3

An optimized crystal structure of GaCuC3 (PBE, the Alexandria database).

Geometry as extended XYZ:
```
5
Lattice="3.976 0.000 0.000 0.000 3.976 0.000 0.000 0.000 3.976" Properties=species:S:1:pos:R:3 pbc="T T T"
Ga 0.000 0.000 0.000
Cu 1.988 1.988 1.988
C 0.000 0.000 1.988
C 0.000 1.988 0.000
C 1.988 0.000 0.000
```

Results
Total moment   0.0 μB/f.u.
Mass density   4.5 Mg/m³
Space-group type   Pm-3m

---

Entry b
# GaCuC3

An optimized crystal structure of GaCuC3 (PBE, the Alexandria database).

Geometry as extended XYZ:
```
5
Lattice="3.886 0.000 0.000 0.000 3.886 0.000 0.000 0.000 3.886" Properties=species:S:1:pos:R:3 pbc="T T T"
Ga 0.000 0.000 0.000
Cu 1.943 1.943 1.943
C 0.000 1.943 1.943
C 1.943 0.000 1.943
C 1.943 1.943 0.000
```

Results
Total moment   0.0 μB/f.u.
Mass density   4.8 Mg/m³
Space-group type   Pm-3m

---

Which of them is most stable? Easy: entry b.

---

Entry a
# GaCu3C

An optimized crystal structure of GaCu3C (PBE, the Alexandria database).

Geometry as extended XYZ:
```
5
Lattice="4.415 0.000 0.000 0.000 4.415 0.000 0.000 0.000 4.415" Properties=species:S:1:pos:R:3 pbc="T T T"
Ga 0.000 0.000 0.000
Cu 0.000 0.000 2.208
Cu 0.000 2.208 0.000
Cu 2.208 0.000 0.000
C 2.208 2.208 2.208
```

Results
Total moment   0.0 μB/f.u.
Mass density   5.3 Mg/m³
Space-group type   Pm-3m

---

Entry b
# GaCu3C

An optimized crystal structure of GaCu3C (PBE, the Alexandria database).

Geometry as extended XYZ:
```
5
Lattice="3.956 0.000 0.000 0.000 3.956 0.000 0.000 0.000 3.956" Properties=species:S:1:pos:R:3 pbc="T T T"
Ga 0.000 0.000 0.000
Cu 0.000 1.978 1.978
Cu 1.978 0.000 1.978
Cu 1.978 1.978 0.000
C 1.978 1.978 1.978
```

Results
Total moment   0.0 μB/f.u.
Mass density   7.3 Mg/m³
Space-group type   Pm-3m

---

Which of them is most stable? Easy: entry b.

---

Entry a
# CuGe3C

An optimized crystal structure of CuGe3C (PBE, the Alexandria database).

Geometry as extended XYZ:
```
5
Lattice="4.590 0.000 0.000 0.000 4.590 0.000 0.000 0.000 4.590" Properties=species:S:1:pos:R:3 pbc="T T T"
Cu 0.000 0.000 0.000
Ge 0.000 0.000 2.295
Ge 0.000 2.295 0.000
Ge 2.295 0.000 0.000
C 2.295 2.295 2.295
```

Results
Total moment   0.0 μB/f.u.
Mass density   5.0 Mg/m³
Space-group type   Pm-3m

---

Entry b
# CuGe3C

An optimized crystal structure of CuGe3C (PBE, the Alexandria database).

Geometry as extended XYZ:
```
5
Lattice="4.281 0.000 0.000 0.000 4.281 0.000 0.000 0.000 4.281" Properties=species:S:1:pos:R:3 pbc="T T T"
Cu 0.000 0.000 0.000
Ge 0.000 2.141 2.141
Ge 2.141 0.000 2.141
Ge 2.141 2.141 0.000
C 2.141 2.141 2.141
```

Results
Total moment   0.0 μB/f.u.
Mass density   6.2 Mg/m³
Space-group type   Pm-3m

---

Which of them is most stable? Easy: entry b.

---

Entry a
# Cu2GeC

An optimized crystal structure of Cu2GeC (PBE, the Alexandria database).

Geometry as extended XYZ:
```
8
Lattice="-2.198 2.198 5.975 2.198 -2.198 5.975 2.198 2.198 -5.975" Properties=species:S:1:pos:R:3 pbc="T T T"
Cu 0.529 1.099 1.494
Cu -1.099 1.669 4.481
Cu -0.529 3.297 1.494
Cu 1.099 2.727 4.481
Ge 2.198 0.000 2.988
Ge 0.000 0.000 5.975
C 0.000 0.000 0.000
C 0.000 2.198 2.988
```

Results
Total moment   0.0 μB/f.u.
Mass density   6.1 Mg/m³
Space-group type   I-42d

---

Entry b
# Cu2GeC

An optimized crystal structure of Cu2GeC (PBE, the Alexandria database).

Geometry as extended XYZ:
```
4
Lattice="0.000 2.891 2.891 2.891 0.000 2.891 2.891 2.891 0.000" Properties=species:S:1:pos:R:3 pbc="T T T"
Cu 1.445 1.445 1.445
Cu 4.336 4.336 4.336
Ge 0.000 0.000 0.000
C 2.891 2.891 2.891
```

Results
Total moment   0.0 μB/f.u.
Mass density   7.3 Mg/m³
Space-group type   Fm-3m

---

Which of them is most stable? Easy: entry a.

---

Entry a
# CuGeC3

An optimized crystal structure of CuGeC3 (PBE, the Alexandria database).

Geometry as extended XYZ:
```
5
Lattice="3.893 0.000 0.000 0.000 3.893 0.000 0.000 0.000 3.893" Properties=species:S:1:pos:R:3 pbc="T T T"
Cu 0.000 0.000 0.000
Ge 1.947 1.947 1.947
C 0.000 0.000 1.947
C 0.000 1.947 0.000
C 1.947 0.000 0.000
```

Results
Total moment   0.0 μB/f.u.
Mass density   4.8 Mg/m³
Space-group type   Pm-3m

---

Entry b
# CuGeC3

An optimized crystal structure of CuGeC3 (PBE, the Alexandria database).

Geometry as extended XYZ:
```
5
Lattice="3.937 0.000 0.000 0.000 3.937 0.000 0.000 0.000 3.937" Properties=species:S:1:pos:R:3 pbc="T T T"
Cu 0.000 0.000 0.000
Ge 1.969 1.969 1.969
C 0.000 1.969 1.969
C 1.969 0.000 1.969
C 1.969 1.969 0.000
```

Results
Total moment   0.0 μB/f.u.
Mass density   4.7 Mg/m³
Space-group type   Pm-3m

---

Which of them is most stable? Easy: entry a.

---

Entry a
# CuH14C4N4O8

An optimized crystal structure of CuH14C4N4O8 (PBE, the Alexandria database).

Geometry as extended XYZ:
```
62
Lattice="8.506 0.000 0.000 0.000 8.379 0.000 -0.951 0.000 8.018" Properties=species:S:1:pos:R:3 pbc="T T T"
Cu 0.000 0.000 0.000
Cu -0.476 4.190 4.009
H 0.322 1.726 2.533
H -0.154 2.463 6.542
H 1.361 0.017 3.505
H 0.885 4.173 7.514
H 2.370 6.254 0.268
H 1.894 6.316 4.277
H 1.935 1.463 4.337
H 2.411 2.727 0.328
H 2.067 0.657 7.406
H 2.543 3.532 3.397
H 3.062 0.531 0.931
H 2.586 3.659 4.940
H 3.053 6.092 5.572
H 3.529 6.477 1.563
H 4.026 1.903 6.455
H 4.502 2.287 2.446
H 4.968 4.721 3.078
H 4.493 7.848 7.087
H 5.012 4.847 4.621
H 5.488 7.722 0.612
H 5.143 5.652 7.690
H 5.619 6.917 3.681
H 5.661 2.064 3.741
H 5.185 2.126 7.750
H 6.669 4.206 0.503
H 6.194 8.363 4.512
H 7.709 5.916 1.476
H 7.233 6.653 5.485
C -0.624 6.098 6.179
C -0.148 6.471 2.170
C 3.023 4.516 1.140
C 2.547 8.054 5.149
C 5.008 0.326 2.869
C 4.532 3.864 6.878
C 7.703 1.908 5.848
C 8.179 2.282 1.839
N 1.810 0.441 4.316
N 2.286 3.749 0.307
N 3.003 5.846 0.954
N 2.527 6.723 4.963
N 5.028 1.656 3.055
N 4.552 2.533 7.064
N 5.269 4.631 7.711
N 5.745 7.938 3.702
O -0.208 4.943 5.844
O 0.267 7.627 1.835
O 0.170 5.935 3.279
O -0.306 6.634 7.288
O 2.470 0.848 0.194
O 1.994 3.342 4.203
O 3.217 0.208 6.101
O 3.693 3.981 2.092
O 3.862 4.398 5.926
O 4.338 8.171 1.917
O 5.561 5.038 3.815
O 5.085 7.531 7.824
O 7.861 1.746 0.730
O 7.385 2.444 4.739
O 7.287 0.753 6.183
O 7.763 3.437 2.174
```

Results
Total moment   1.0 μB/f.u.
Mass density   1.8 Mg/m³
Space-group type   P2_1/c

---

Entry b
# CuH14C4N4O8

An optimized crystal structure of CuH14C4N4O8 (PBE, the Alexandria database).

Geometry as extended XYZ:
```
62
Lattice="9.392 0.000 0.000 0.000 7.296 0.000 -0.004 0.000 9.015" Properties=species:S:1:pos:R:3 pbc="T T T"
Cu 0.000 0.000 0.000
Cu -0.002 3.648 4.507
H 0.838 1.409 6.470
H 0.840 2.239 1.962
H 1.622 3.992 0.370
H 1.620 6.951 4.877
H 2.728 1.767 4.751
H 2.730 1.881 0.243
H 3.203 4.292 0.659
H 3.201 6.652 5.166
H 3.450 0.894 8.263
H 3.451 2.754 3.756
H 3.535 3.721 5.520
H 3.536 7.222 1.013
H 4.426 4.959 8.004
H 4.428 5.984 3.496
H 4.961 1.311 5.518
H 4.963 2.336 1.011
H 5.852 0.073 8.002
H 5.854 3.574 3.495
H 5.937 4.542 5.259
H 5.939 6.402 0.751
H 6.187 0.644 3.849
H 6.186 3.004 8.356
H 6.659 5.415 8.772
H 6.660 5.529 4.264
H 7.768 0.345 4.138
H 7.767 3.303 8.645
H 8.549 5.057 7.052
H 8.550 5.887 2.545
C 0.011 1.663 2.402
C 0.009 1.985 6.909
C 3.756 4.372 7.358
C 3.758 6.571 2.851
C 5.631 0.724 6.164
C 5.632 2.924 1.657
C 9.380 5.311 2.106
C 9.378 5.633 6.613
N 2.566 7.296 4.670
N 2.568 3.648 0.162
N 2.740 3.715 7.771
N 2.742 7.229 3.264
N 6.647 0.067 5.751
N 6.649 3.581 1.244
N 6.823 0.000 4.345
N 6.821 3.648 8.853
O 0.364 5.365 5.423
O 0.366 5.579 0.915
O 0.557 4.399 2.780
O 0.555 6.544 7.287
O 2.859 0.900 0.032
O 2.857 2.748 4.539
O 4.108 4.401 6.058
O 4.109 6.543 1.551
O 5.279 0.753 7.464
O 5.281 2.895 2.957
O 6.531 4.548 4.476
O 6.529 6.396 8.983
O 8.833 0.751 1.728
O 8.831 2.897 6.235
O 9.023 1.717 8.100
O 9.025 1.931 3.592
```

Results
Total moment   1.0 μB/f.u.
Mass density   1.7 Mg/m³
Space-group type   P2_1/c

---

Which of them is most stable? Easy: entry a.

---

Entry a
# CuNiHRuCSe

An optimized crystal structure of CuNiHRuCSe (PBE, the Alexandria database).

Geometry as extended XYZ:
```
6
Lattice="4.715 0.000 0.000 0.000 2.898 0.000 -2.043 0.000 5.990" Properties=species:S:1:pos:R:3 pbc="T T T"
Cu 0.000 0.000 0.000
Ni 1.508 1.449 3.802
H -1.231 1.449 5.306
Ru 2.344 1.449 0.043
C 0.925 0.000 4.883
Se 2.782 0.000 2.292
```

Results
Total moment   0.0 μB/f.u.
Mass density   6.4 Mg/m³
Space-group type   Pm

---

Entry b
# CuNiHRuCSe

An optimized crystal structure of CuNiHRuCSe (PBE, the Alexandria database).

Geometry as extended XYZ:
```
6
Lattice="5.501 -1.465 0.000 5.501 1.465 0.000 -2.216 0.000 4.540" Properties=species:S:1:pos:R:3 pbc="T T T"
Cu 0.000 0.000 0.000
Ni 2.460 0.000 2.531
H 1.495 0.000 0.946
Ru 0.489 0.000 4.194
C 7.043 0.000 3.464
Se -1.047 0.000 2.237
```

Results
Total moment   0.0 μB/f.u.
Mass density   7.2 Mg/m³
Space-group type   Cm

---

Which of them is most stable? Easy: entry b.